Density functional theory data (PBE) for a relaxed structure of MnGeN2.

The structure belongs to space group R-3m (No. 166, hexagonal axes); the cell edges are 2.9210, 2.9210 and 17.4817 Å and the angles 90.00°, 90.00° and 120.00°. The inequivalent atoms are Mn at (0.0000, 0.0000, 0.0000), Ge at (0.0000, 0.0000, 0.5000) and N at (0.0000, 0.0000, 0.1037).

The formation energy without anion corrections comes out at 49.4 kJ per mole of atoms. The density of states at the Fermi level comes out at 0.87 states/eV per atom. As for the crystal system: trigonal. The density is 6.00 g cm⁻³.

---

Density functional theory data (PBE) for a relaxed structure of MnGeN3.

The structure belongs to space group Pm-3m (No. 221); the cell edges are 3.717, 3.717 and 3.717 Å and the angles 90.00°, 90.00° and 90.00°. The inequivalent atoms are Mn at (0.000, 0.000, 0.000), Ge at (0.500, 0.500, 0.500) and N at (0.000, 0.000, 0.500).

The formation energy without anion corrections comes out at 98.4 kJ per mole of atoms. The density of states at the Fermi level comes out at 1.13 states/eV per atom. As for the crystal system: cubic. The density is 5.48 g cm⁻³.

---

Density functional theory data (PBE) for a relaxed structure of MnGeN2.

The structure belongs to space group Pna2_1 (No. 33); the cell edges are 5.557, 6.694 and 5.313 Å and the angles 90.00°, 90.00° and 90.00°. The inequivalent atoms are Mn at (0.082, 0.124, 0.000), Ge at (0.072, 0.626, 0.003), N at (0.060, 0.605, 0.358) and N at (0.103, 0.145, 0.401).

The formation energy without anion corrections comes out at -4.5 kJ per mole of atoms. The density of states at the Fermi level comes out at 0.01 states/eV per atom. As for the crystal system: orthorhombic. The density is 5.23 g cm⁻³.